No. 1
Material: AcTbGdMg
Method: DFT, PBE
State: relaxed

Cell: 5.7146 5.7146 5.7146 Å, 60.00 60.00 60.00°
With the nearest neighbours (Å) after each atom.
Fractional coordinates of all 4 atoms:
1 Ac 0.0000 0.0000 0.0000  4 Gd 3.50, 4 Tb 3.50
2 Tb 0.7500 0.7500 0.7500  4 Mg 3.50, 4 Ac 3.50
3 Gd 0.2500 0.2500 0.2500  4 Mg 3.50, 4 Ac 3.50
4 Mg 0.5000 0.5000 0.5000  4 Gd 3.50, 4 Tb 3.50

Properties
Symmetry ... F-43m
Total moment ... 8.013 μB per formula unit
Calculated total energy ... -23.9 eV/f.u.
Volume ... 33.0 Å³/atom

---

No. 2
Material: AcGdMgTl
Method: DFT, PBE
State: relaxed

Cell: 5.6359 5.6359 5.6359 Å, 60.00 60.00 60.00°
With the nearest neighbours (Å) after each atom.
Fractional coordinates of all 4 atoms:
1 Ac 0.0000 0.0000 0.0000  4 Tl 3.45, 4 Mg 3.45
2 Gd 0.5000 0.5000 0.5000  4 Mg 3.45, 4 Tl 3.45
3 Mg 0.7500 0.7500 0.7500  4 Gd 3.45, 4 Ac 3.45
4 Tl 0.2500 0.2500 0.2500  4 Gd 3.45, 4 Ac 3.45

Properties
Symmetry ... F-43m
Total moment ... 7.970 μB per formula unit
Calculated total energy ... -23.0 eV/f.u.
Volume ... 31.6 Å³/atom

---

Q: Look up the calculated total energy of the first one.
A: -23.9 eV/f.u.

---

Q: The highest total moment belongs to which entry?
A: AcTbGdMg

---

Q: The highest volume belongs to which entry?
A: AcTbGdMg